The following is a DFT calculation (PBE-GGA) of a relaxed Tl2CrI crystal.

Lattice parameters (Å, degrees): 5.672 5.672 5.672 60.00 60.00 60.00
Sites, in units of the cell vectors:
1 Tl 0.250 0.250 0.250
2 Tl 0.750 0.750 0.750
3 Cr 0.000 0.000 0.000
4 I 0.500 0.500 0.500

- space group = Fm-3m
- total magnetization (μB per formula unit) = 4.99
- formation energy from raw total energies (eV/f.u.) = 1.87
- Fermi-level density of states (states/eV/f.u.) = 1.49
- electronic total energy (eV/atom) = -3.5089